Record 1
NiTeN2O, relaxed, DFT PBE+U; total DFT energy (no corrections) = -4.31 eV per atom; crystal system = tetragonal; symmetry = No. 123
1.0
3.978 0.000 0.000
0.000 3.978 0.000
0.000 0.000 3.872
Ni Te N O
1 1 2 1
direct
0.000 0.000 0.000
0.500 0.500 0.500
0.000 0.500 0.500
0.500 0.000 0.500
0.500 0.500 0.000

Record 2
NiTe2NO, relaxed, DFT PBE+U; total DFT energy (no corrections) = -3.41 eV per atom; crystal system = tetragonal; symmetry = No. 123
1.0
5.107 0.000 0.000
0.000 5.107 0.000
0.000 0.000 3.346
Ni Te N O
1 2 1 1
direct
0.000 0.000 0.000
0.000 0.500 0.000
0.500 0.000 0.000
0.000 0.000 0.500
0.500 0.500 0.500

Record 3
NiTeN2O, relaxed, DFT PBE+U; total DFT energy (no corrections) = -4.39 eV per atom; crystal system = tetragonal; symmetry = No. 123
1.0
3.824 0.000 0.000
0.000 3.824 0.000
0.000 0.000 3.724
Ni Te N O
1 1 2 1
direct
0.000 0.000 0.000
0.500 0.500 0.500
0.000 0.500 0.000
0.500 0.000 0.000
0.000 0.000 0.500

Record 4
NiTe2NO, relaxed, DFT PBE+U; total DFT energy (no corrections) = -3.09 eV per atom; crystal system = tetragonal; symmetry = No. 123
1.0
4.657 0.000 0.000
0.000 4.657 0.000
0.000 0.000 3.893
Ni Te N O
1 2 1 1
direct
0.000 0.000 0.000
0.000 0.500 0.500
0.500 0.000 0.500
0.500 0.500 0.000
0.500 0.500 0.500